# 1
# Dy12AlPd6 (GGA-PBE, optimized geometry)
# - total DFT energy (no corrections) (Ry/atom) = -0.3840
# - symmetry = R-3, No. 148
data_Dy12AlPd6
_space_group_name_H-M_alt 'P 1'
_space_group_IT_number 1
_cell_length_a 8.6538
_cell_length_b 8.6538
_cell_length_c 8.6538
_cell_angle_alpha 108.77
_cell_angle_beta 108.77
_cell_angle_gamma 108.77
loop_
_space_group_symop_operation_xyz
'x,y,z'
loop_
_atom_site_label
_atom_site_type_symbol
_atom_site_fract_x
_atom_site_fract_y
_atom_site_fract_z
Pd1 Pd 0.7811 0.3500 0.7058
Dy1 Dy 0.0318 0.8627 0.3222
Dy2 Dy 0.4430 0.1456 0.3784
Dy3 Dy 0.9682 0.1373 0.6778
Dy4 Dy 0.1456 0.3784 0.4430
Pd2 Pd 0.2942 0.2189 0.6500
Pd3 Pd 0.7058 0.7811 0.3500
Dy5 Dy 0.5570 0.8544 0.6216
Dy6 Dy 0.6778 0.9682 0.1373
Dy7 Dy 0.6216 0.5570 0.8544
Pd4 Pd 0.2189 0.6500 0.2942
Dy8 Dy 0.8544 0.6216 0.5570
Dy9 Dy 0.3222 0.0318 0.8627
Pd5 Pd 0.6500 0.2942 0.2189
Dy10 Dy 0.3784 0.4430 0.1456
Dy11 Dy 0.1373 0.6778 0.9682
Pd6 Pd 0.3500 0.7058 0.7811
Al1 Al 0.0000 0.0000 0.0000
Dy12 Dy 0.8627 0.3222 0.0318

***

# 2
# AcPm2PrY5 (GGA-PBE, optimized geometry)
# - total DFT energy (no corrections) (Ry/atom) = -0.3960
# - symmetry = I4/mcm, No. 140
data_AcPm2PrY5
_space_group_name_H-M_alt 'P 1'
_space_group_IT_number 1
_cell_length_a 8.9157
_cell_length_b 8.9157
_cell_length_c 10.0920
_cell_angle_alpha 116.21
_cell_angle_beta 116.21
_cell_angle_gamma 90.00
loop_
_space_group_symop_operation_xyz
'x,y,z'
loop_
_atom_site_label
_atom_site_type_symbol
_atom_site_fract_x
_atom_site_fract_y
_atom_site_fract_z
Y1 Y 0.5000 0.5000 0.0000
Y2 Y 0.9200 0.4200 0.2618
Y3 Y 0.5800 0.6583 0.7382
Pm1 Pm 0.8857 0.6143 0.0000
Y4 Y 0.1583 0.0800 0.7382
Pm2 Pm 0.1143 0.3857 0.0000
Y5 Y 0.4200 0.3417 0.2618
Y6 Y 0.6583 0.1583 0.7382
Y7 Y 0.8417 0.9200 0.2618
Y8 Y 0.0000 0.0000 0.0000
Y9 Y 0.0800 0.5800 0.7382
Pr1 Pr 0.2500 0.2500 0.5000
Ac1 Ac 0.2500 0.7500 0.5000
Y10 Y 0.3417 0.8417 0.2618
Pr2 Pr 0.7500 0.7500 0.5000
Pm3 Pm 0.6143 0.1143 0.0000
Ac2 Ac 0.7500 0.2500 0.5000
Pm4 Pm 0.3857 0.8857 0.0000

***

# 3
# Hf2NbPd9 (GGA-PBE, optimized geometry)
# - total DFT energy (no corrections) (Ry/atom) = -0.5184
# - symmetry = P4/mmm, No. 123
data_Hf2NbPd9
_space_group_name_H-M_alt 'P 1'
_space_group_IT_number 1
_cell_length_a 4.0010
_cell_length_b 4.0010
_cell_length_c 12.0244
_cell_angle_alpha 90.00
_cell_angle_beta 90.00
_cell_angle_gamma 90.00
loop_
_space_group_symop_operation_xyz
'x,y,z'
loop_
_atom_site_label
_atom_site_type_symbol
_atom_site_fract_x
_atom_site_fract_y
_atom_site_fract_z
Pd1 Pd 0.0000 0.5000 0.5000
Pd2 Pd 0.5000 0.5000 0.0000
Pd3 Pd 0.5000 0.0000 0.8341
Pd4 Pd 0.5000 0.5000 0.3328
Pd5 Pd 0.0000 0.5000 0.1659
Nb1 Nb 0.0000 0.0000 0.0000
Pd6 Pd 0.5000 0.0000 0.1659
Pd7 Pd 0.5000 0.5000 0.6672
Pd8 Pd 0.5000 0.0000 0.5000
Hf1 Hf 0.0000 0.0000 0.6678
Pd9 Pd 0.0000 0.5000 0.8341
Hf2 Hf 0.0000 0.0000 0.3322